# 1
Entry from Alexandria: a geometry-optimized ZrRuNO2 structure (PBE).

Values from the calculation:
For the formation energy without anion corrections, the calculation gives -14.25 kcal/mol of atoms.

Cell and atoms, written as CIF:
```
data_ZrRuNO2
_symmetry_space_group_name_H-M 'P 4/m m m'
_symmetry_Int_Tables_number 123
_symmetry_space_group_name_Hall '-P 4 2'
_cell_length_a 3.9096
_cell_length_b 3.9096
_cell_length_c 3.8124
_cell_angle_alpha 90.00
_cell_angle_beta 90.00
_cell_angle_gamma 90.00
loop_
_atom_site_label
_atom_site_fract_x
_atom_site_fract_y
_atom_site_fract_z
_atom_site_occupancy
Zr1 0.0000 0.0000 0.0000 1
Ru1 0.5000 0.5000 0.5000 1
N1 0.5000 0.5000 0.0000 1
O1 0.0000 0.5000 0.5000 1
```


# 2
Entry from Alexandria: a geometry-optimized La2NdIr2 structure (PBE).

Values from the calculation:
Its formation enthalpy at 0 K is -0.653 eV per atom. The energy relative to the lowest polymorph listed for this composition comes out at 0 meV/atom.

Cell and atoms, written as CIF:
```
data_La2NdIr2
_symmetry_space_group_name_H-M 'P 1 21/m 1'
_symmetry_Int_Tables_number 11
_symmetry_space_group_name_Hall '-P 2yb'
_cell_length_a 5.9390
_cell_length_b 4.4533
_cell_length_c 10.8381
_cell_angle_alpha 90.00
_cell_angle_beta 99.18
_cell_angle_gamma 90.00
loop_
_atom_site_label
_atom_site_fract_x
_atom_site_fract_y
_atom_site_fract_z
_atom_site_occupancy
La1 0.1113 0.2500 0.3836 1
La2 0.2325 0.7500 0.9663 1
Nd1 0.4591 0.2500 0.7057 1
Ir1 0.3091 0.2500 0.1348 1
Ir2 0.3360 0.7500 0.5298 1
```


What did we get for calculated total energy? Answer: -7.831 -7.122 eV per atom, in the order shown.
What did we get for spin magnetization? Answer: 0.0 0.0 μB/f.u., in the order shown.